1.
Crystalline La2TcPbO8 at its relaxed geometry, computed with GGA-PBE.

As for the density of states at the Fermi level: 3.34 states/eV per cell. The calculation puts the raw formation energy at -2041 meV per atom. Its total energy is -7.340 eV per atom.

The space group is P-1 (No. 2) and the conventional cell measures 5.0899, 5.1042 and 7.1377 Å, with angles of 90.86, 90.89 and 92.31 degrees. Symmetry generates all atoms from La at (0.0436, 0.0426, 0.2571), Tc at (0.5000, 0.5000, 0.5000), Pb at (0.5000, 0.5000, 0.0000), O at (0.1964, 0.1981, 0.9745), O at (0.2355, 0.2393, 0.5350), O at (0.2956, 0.6479, 0.2956) and O at (0.3541, 0.7069, 0.7040).


2.
Crystalline LaTePb2O6 at its relaxed geometry, computed with GGA-PBE.

As for the density of states at the Fermi level: 11.84 states/eV per cell. The calculation puts the raw formation energy at -1613 meV per atom. Its total energy is -6.137 eV per atom.

The space group is R3 (No. 146, hexagonal axes) and the conventional cell measures 6.1603, 6.1603 and 15.2142 Å, with angles of 90.00, 90.00 and 120.00 degrees. Symmetry generates all atoms from La at (0.0000, 0.0000, 0.0000), Te at (0.0000, 0.0000, 0.5092), Pb at (0.0000, 0.0000, 0.2252), Pb at (0.0000, 0.0000, 0.7300), O at (0.0039, 0.4216, 0.7742) and O at (0.0487, 0.6014, 0.2617).


3.
Crystalline LaTePbO6 at its relaxed geometry, computed with GGA-PBE.

As for the density of states at the Fermi level: 8.15 states/eV per cell. The calculation puts the raw formation energy at -1608 meV per atom. Its total energy is -6.222 eV per atom.

The space group is P-31c (No. 163) and the conventional cell measures 5.9115, 5.9115 and 9.2525 Å, with angles of 90.00, 90.00 and 120.00 degrees. Symmetry generates all atoms from La at (0.3333, 0.6667, 0.2500), Te at (0.3333, 0.6667, 0.7500), Pb at (0.0000, 0.0000, 0.0000) and O at (0.0575, 0.3884, 0.6327).


Q: Which value of total energy does entry 2 give?
A: -6.137 eV per atom


Q: What is the raw formation energy in the second record?
A: -1613 meV per atom


Q: Among the records above, which one has the lowest raw formation energy?
A: La2TcPbO8